No. 1
CeSc2C: optimized geometry, GGA-PBE.

Unit cell a=9.3645 b=9.3645 c=9.3645 alpha=19.97 beta=19.97 gamma=19.97
Last column: nearest neighbours and their distance in Å.
Element x y z (fractional)
Ce  0.0000  0.0000  0.0000  6 Ce 3.25, 2 Sc 3.34
Sc  0.1213  0.1213  0.1213  3 C 2.25
Sc  0.8787  0.8787  0.8787  3 C 2.25
C  0.5000  0.5000  0.5000  6 Sc 2.25

DOS at the Fermi energy in states/eV/atom: 1.473
Volume in Å³ per atom: 21.0
ΔE to the lowest computed polymorph in meV per atom: 0

No. 2
YCu2Os: optimized geometry, GGA-PBE.

Unit cell a=4.5518 b=4.5518 c=4.5518 alpha=60.00 beta=60.00 gamma=60.00
Last column: nearest neighbours and their distance in Å.
Element x y z (fractional)
Y  0.0000  0.0000  0.0000  4 Os 2.79, 4 Cu 2.79
Cu  0.2500  0.2500  0.2500  4 Cu 2.79, 4 Y 2.79
Cu  0.5000  0.5000  0.5000  4 Os 2.79, 4 Cu 2.79
Os  0.7500  0.7500  0.7500  4 Y 2.79, 4 Cu 2.79

DOS at the Fermi energy in states/eV/atom: 1.360
Volume in Å³ per atom: 16.7
ΔE to the lowest computed polymorph in meV per atom: 233

No. 3
LiGa3Pd4: optimized geometry, GGA-PBE.

Unit cell a=6.8972 b=6.8972 c=6.8972 alpha=143.37 beta=143.37 gamma=52.77
Last column: nearest neighbours and their distance in Å.
Element x y z (fractional)
Li  0.0000  0.0000  0.0000  8 Pd 2.67
Ga  0.2456  0.2456  0.0000  8 Pd 2.62-2.68
Ga  0.5000  0.5000  0.0000  8 Pd 2.67
Ga  0.7544  0.7544  0.0000  8 Pd 2.62-2.68
Pd  0.1268  0.6268  0.5000  6 Ga 2.62-2.68, 2 Li 2.67
Pd  0.3732  0.8732  0.5000  6 Ga 2.62-2.68, 2 Li 2.67
Pd  0.6268  0.1268  0.5000  6 Ga 2.62-2.68, 2 Li 2.67
Pd  0.8732  0.3732  0.5000  6 Ga 2.62-2.68, 2 Li 2.67

DOS at the Fermi energy in states/eV/atom: 0.448
Volume in Å³ per atom: 14.5
VASP energy in eV per atom: -4.6111

No. 4
CaSiTc: optimized geometry, GGA-PBE.

Unit cell a=4.3972 b=4.3972 c=4.3972 alpha=60.00 beta=60.00 gamma=60.00
Last column: nearest neighbours and their distance in Å.
Element x y z (fractional)
Ca  0.0000  0.0000  0.0000  4 Si 2.69
Si  0.7500  0.7500  0.7500  4 Tc 2.69, 4 Ca 2.69
Tc  0.5000  0.5000  0.5000  4 Si 2.69

DOS at the Fermi energy in states/eV/atom: 1.006
Volume in Å³ per atom: 20.0
E_form (uncorrected) in eV per atom: 0.250
ΔE to the lowest computed polymorph in meV per atom: 645

No. 5
Hf4PdRh2: optimized geometry, GGA-PBE.

Unit cell a=5.6471 b=5.6471 c=4.5024 alpha=90.00 beta=90.00 gamma=108.00
Last column: nearest neighbours and their distance in Å.
Element x y z (fractional)
Hf  0.0000  0.5000  0.5000  4 Rh 2.80, 2 Pd 2.82
Hf  0.2366  0.2366  0.0000  4 Rh 2.76-2.89, 2 Pd 2.85
Hf  0.5000  0.0000  0.5000  4 Rh 2.80, 2 Pd 2.82
Hf  0.7634  0.7634  0.0000  4 Rh 2.76-2.89, 2 Pd 2.85
Pd  0.5000  0.5000  0.5000  8 Hf 2.82-2.85
Rh  0.2481  0.7519  0.0000  8 Hf 2.76-2.89
Rh  0.7519  0.2481  0.0000  8 Hf 2.76-2.89

DOS at the Fermi energy in states/eV/atom: 1.125
Volume in Å³ per atom: 19.5
VASP energy in eV per atom: -9.0987

No. 6
Tm6ZnRu: optimized geometry, GGA-PBE.

Unit cell a=6.4938 b=6.4938 c=6.5297 alpha=101.44 beta=101.44 gamma=117.95
Last column: nearest neighbours and their distance in Å.
Element x y z (fractional)
Tm  0.0492  0.4219  0.2465  1 Ru 2.72, 1 Zn 2.81
Tm  0.2382  0.2382  0.7579  1 Ru 2.64, 1 Zn 2.86
Tm  0.4219  0.0492  0.2465  1 Ru 2.72, 1 Zn 2.81
Tm  0.5781  0.9508  0.7535  1 Ru 2.72, 1 Zn 2.81
Tm  0.7618  0.7618  0.2421  1 Ru 2.64, 1 Zn 2.86
Tm  0.9508  0.5781  0.7535  1 Ru 2.72, 1 Zn 2.81
Zn  0.5000  0.5000  0.5000  6 Tm 2.81-2.86
Ru  0.0000  0.0000  0.0000  6 Tm 2.64-2.72

DOS at the Fermi energy in states/eV/atom: 1.162
Volume in Å³ per atom: 28.1
ΔE to the lowest computed polymorph in meV per atom: 130

No. 7
LaSbSe2N: optimized geometry, GGA-PBE.

Unit cell a=5.3877 b=5.3877 c=4.0883 alpha=90.00 beta=90.00 gamma=90.00
Last column: nearest neighbours and their distance in Å.
Element x y z (fractional)
La  0.0000  0.0000  0.0000  8 Se 3.38
Sb  0.5000  0.5000  0.5000  2 N 2.04
Se  0.0000  0.5000  0.5000  2 Sb 2.69
Se  0.5000  0.0000  0.5000  2 Sb 2.69
N  0.5000  0.5000  0.0000  2 Sb 2.04

DOS at the Fermi energy in states/eV/atom: 0.318
Volume in Å³ per atom: 23.7
E_form (uncorrected) in eV per atom: -0.290
ΔE to the lowest computed polymorph in meV per atom: 0

No. 8
Dy2LuBe: optimized geometry, GGA-PBE.

Unit cell a=3.4572 b=3.4572 c=8.4244 alpha=90.00 beta=90.00 gamma=90.00
Last column: nearest neighbours and their distance in Å.
Element x y z (fractional)
Dy  0.0000  0.0000  0.1958  4 Be 2.95, 1 Dy 3.30
Dy  0.0000  0.0000  0.8042  4 Be 2.95, 1 Dy 3.30
Lu  0.5000  0.5000  0.5000  4 Lu 3.46, 8 Dy 3.54
Be  0.5000  0.5000  0.0000  8 Dy 2.95

DOS at the Fermi energy in states/eV/atom: 0.865
Volume in Å³ per atom: 25.2
ΔE to the lowest computed polymorph in meV per atom: 0